[1]
Material: TaTl2Au
Method: DFT, PBE
State: relaxed

Output
Volume, Å³ per cell: 183.11
Crystal system: tetragonal
Energy of formation from the pure elements, meV/atom: 716
Space-group type: I-42d (122)
VASP energy, eV/atom: -4.25

Cell: 7.7845 7.7845 6.2794 Å, 51.69 51.69 90.00°
Positions (direct):
Tl (0.6350, 0.1250, 0.2500)
Tl (0.1150, 0.6250, 0.2500)
Tl (0.3750, 0.3650, 0.7500)
Tl (0.8750, 0.8850, 0.7500)
Au (0.0000, 0.0000, 0.0000)
Au (0.7500, 0.2500, 0.5000)
Ta (0.5000, 0.5000, 0.0000)
Ta (0.2500, 0.7500, 0.5000)

[2]
Material: TaTl2Au
Method: DFT, PBE
State: relaxed

Output
Volume, Å³ per cell: 88.58
Crystal system: orthorhombic
Energy of formation from the pure elements, meV/atom: 504
Space-group type: Pmmm (47)
VASP energy, eV/atom: -4.46

Cell: 3.0327 5.4520 5.3572 Å, 90.00 90.00 90.00°
Site moments in Bohr magnetons follow the coordinates.
Positions (direct):
Au (0.5000, 0.0000, 0.5000)  0.01
Ta (0.0000, 0.5000, 0.5000)  0.11
Tl (0.0000, 0.0000, 0.0000)  0.01
Tl (0.5000, 0.5000, 0.0000)  0.00

[3]
Material: TaTlAu4
Method: DFT, PBE
State: relaxed

Output
Volume, Å³ per cell: 120.33
Crystal system: cubic
Energy of formation from the pure elements, meV/atom: 465
Space-group type: F-43m (216)
VASP energy, eV/atom: -4.09

Cell: 5.5415 5.5415 5.5415 Å, 60.00 60.00 60.00°
Site moments in Bohr magnetons follow the coordinates.
Positions (direct):
Ta (0.7500, 0.7500, 0.7500)  1.17
Tl (0.0000, 0.0000, 0.0000)  0.03
Au (0.8738, 0.3754, 0.3754)  0.03
Au (0.3754, 0.3754, 0.8738)  0.03
Au (0.3754, 0.8738, 0.3754)  0.03
Au (0.3754, 0.3754, 0.3754)  0.03

[4]
Material: Ta2TlAu
Method: DFT, PBE
State: relaxed

Output
Volume, Å³ per cell: 76.45
Crystal system: tetragonal
Energy of formation from the pure elements, meV/atom: 380
Space-group type: I-4m2 (119)
VASP energy, eV/atom: -6.96

Cell: 5.3490 5.3490 5.3490 Å, 134.58 134.58 66.19°
Positions (direct):
Au (0.7500, 0.2500, 0.5000)
Ta (0.0000, 0.0000, 0.0000)
Ta (0.2500, 0.7500, 0.5000)
Tl (0.5000, 0.5000, 0.0000)

[5]
Material: TaTl2Au
Method: DFT, PBE
State: relaxed

Output
Volume, Å³ per cell: 89.39
Crystal system: monoclinic
Energy of formation from the pure elements, meV/atom: 420
Space-group type: Pm (6)
VASP energy, eV/atom: -4.55

Cell: 4.6286 3.3438 6.0230 Å, 73.52 90.00 90.00°
Positions (direct):
Au (0.0000, 0.6876, 0.4980)
Ta (0.5000, 0.5566, 0.7666)
Tl (0.0000, 0.9635, 0.9439)
Tl (0.5000, 0.2923, 0.2915)

[6]
Material: TaTl2Au
Method: DFT, PBE
State: relaxed

Output
Volume, Å³ per cell: 85.95
Crystal system: monoclinic
Energy of formation from the pure elements, meV/atom: 539
Space-group type: C2/m (12)
VASP energy, eV/atom: -4.43

Cell: 5.3360 5.3360 5.6108 Å, 76.18 76.18 33.75°
Positions (direct):
Au (0.2500, 0.2500, 0.2500)
Ta (0.7500, 0.7500, 0.7500)
Tl (0.9972, 0.9972, 0.9965)
Tl (0.5028, 0.5028, 0.5035)

[7]
Material: TaTlAu2
Method: DFT, PBE
State: relaxed

Output
Volume, Å³ per cell: 78.73
Crystal system: orthorhombic
Energy of formation from the pure elements, meV/atom: 273
Space-group type: Cmmm (65)
VASP energy, eV/atom: -4.92

Cell: 5.3187 5.3187 2.9686 Å, 90.03 90.03 110.37°
Positions (direct):
Au (0.0000, 0.0000, 0.0000)
Au (0.5000, 0.5000, 0.0000)
Ta (0.5000, 0.0000, 0.5000)
Tl (0.0000, 0.5000, 0.5000)

[8]
Material: TaTl2Au
Method: DFT, PBE
State: relaxed

Output
Volume, Å³ per cell: 91.54
Crystal system: orthorhombic
Energy of formation from the pure elements, meV/atom: 405
Space-group type: Imm2 (44)
VASP energy, eV/atom: -4.56

Cell: 6.5025 6.5025 6.5025 Å, 152.50 133.53 54.85°
Positions (direct):
Au (0.4614, 0.4614, 0.0000)
Ta (0.2634, 0.7634, 0.5000)
Tl (0.0317, 0.0317, 0.0000)
Tl (0.7436, 0.2436, 0.5000)

> What is the VASP energy in the first record?

-4.25 eV/atom

> Which of these has the highest energy of formation from the pure elements?

number 1

Copy entry 6 word for word.
Material: TaTl2Au
Method: DFT, PBE
State: relaxed

Output
Volume, Å³ per cell: 85.95
Crystal system: monoclinic
Energy of formation from the pure elements, meV/atom: 539
Space-group type: C2/m (12)
VASP energy, eV/atom: -4.43

Cell: 5.3360 5.3360 5.6108 Å, 76.18 76.18 33.75°
Positions (direct):
Au (0.2500, 0.2500, 0.2500)
Ta (0.7500, 0.7500, 0.7500)
Tl (0.9972, 0.9972, 0.9965)
Tl (0.5028, 0.5028, 0.5035)

> Which value of VASP energy does entry 2 give?

-4.46 eV/atom